Record 1
First-principles (PBE) data for a geometry-optimized TaMn4Cl structure, as listed in the Alexandria database.

Geometry as POSCAR:
```
TaMn4Cl
1.0
0.000 3.447 3.447
3.447 0.000 3.447
3.447 3.447 0.000
Ta Mn Cl
1 4 1
Cartesian
0.000 0.000 0.000
2.580 2.580 2.580
4.313 4.313 2.580
4.313 2.580 4.313
2.580 4.313 4.313
5.170 5.170 5.170
```

Summary:
**N(E_F)**: 9.1 states/eV/f.u.
**Energy relative to the elements, uncorrected**: 0.59 eV/atom
**Space-group type**: No. 216
**VASP energy**: -46.81 eV per cell

Record 2
First-principles (PBE) data for a geometry-optimized Pm7Sm4In structure, as listed in the Alexandria database.

Geometry as POSCAR:
```
Pm7Sm4In
1.0
6.242 0.000 0.000
-0.001 7.166 0.000
-3.118 -1.793 8.824
Pm Sm In
7 4 1
Cartesian
0.000 0.000 0.000
-2.066 0.018 5.929
2.040 3.577 2.919
3.119 1.813 0.002
0.004 3.561 8.822
1.083 1.797 5.904
5.189 5.356 2.894
5.214 1.809 2.899
-2.091 3.565 5.924
0.987 5.365 5.854
2.136 0.009 2.969
-0.001 3.583 0.000
```

Summary:
**N(E_F)**: 15.7 states/eV/f.u.
**Space-group type**: No. 2
**VASP energy**: -55.49 eV per cell
**E_form**: -0.05 eV/atom

Record 3
First-principles (PBE) data for a geometry-optimized MgMnOs2 structure, as listed in the Alexandria database.

Geometry as POSCAR:
```
MgMnOs2
1.0
5.519 0.000 0.000
0.000 7.861 0.000
0.000 0.000 2.637
Mg Mn Os
2 2 4
Cartesian
0.000 0.000 0.000
2.759 3.931 0.000
0.000 3.931 0.000
2.759 0.000 0.000
1.380 1.965 1.319
1.380 5.896 1.319
4.139 1.965 1.319
4.139 5.896 1.319
```

Summary:
**N(E_F)**: 4.3 states/eV/f.u.
**Space-group type**: No. 65
**VASP energy**: -63.78 eV per cell
**E_form**: 0.33 eV/atom

Record 4
First-principles (PBE) data for a geometry-optimized Y4ScZn5 structure, as listed in the Alexandria database.

Geometry as POSCAR:
```
Y4ScZn5
1.0
3.536 0.000 0.000
0.000 3.536 0.000
0.000 0.000 17.695
Y Sc Zn
4 1 5
Cartesian
0.000 0.000 1.815
0.000 0.000 5.429
0.000 0.000 12.266
0.000 0.000 15.880
0.000 0.000 8.847
1.768 1.768 0.000
1.768 1.768 3.616
1.768 1.768 7.316
1.768 1.768 10.379
1.768 1.768 14.079
```

Summary:
**N(E_F)**: 11.5 states/eV/f.u.
**Space-group type**: No. 123
**VASP energy**: -42.11 eV per cell
**E_form**: -0.35 eV/atom

Record 5
First-principles (PBE) data for a geometry-optimized IrC structure, as listed in the Alexandria database.

Geometry as POSCAR:
```
IrC
1.0
4.522 0.000 0.000
-2.261 3.916 0.000
0.000 0.000 5.351
Ir C
4 4
Cartesian
0.000 0.000 1.338
0.000 0.000 4.013
0.000 2.611 1.338
2.261 1.305 4.013
0.000 2.611 3.352
0.000 2.611 4.674
2.261 1.305 0.677
2.261 1.305 1.999
```

Summary:
**N(E_F)**: 1.2 states/eV/f.u.
**Space-group type**: No. 194
**VASP energy**: -61.43 eV per cell
**E_form**: 1.36 eV/atom

Record 6
First-principles (PBE) data for a geometry-optimized AgICl3 structure, as listed in the Alexandria database.

Geometry as POSCAR:
```
AgICl3
1.0
3.735 0.000 0.000
1.820 9.103 0.000
0.025 3.214 10.047
Ag I Cl
2 2 6
Cartesian
0.000 0.000 0.000
1.861 5.708 6.676
1.858 3.871 1.680
3.723 1.836 4.993
1.803 9.151 3.387
1.847 5.659 3.286
1.892 5.033 9.957
3.712 10.708 9.984
3.729 7.318 6.742
3.728 3.889 6.762
```

Summary:
**N(E_F)**: 5.4 states/eV/f.u.
**Energy relative to the elements, uncorrected**: -0.24 eV/atom
**Space-group type**: No. 1
**VASP energy**: -22.27 eV per cell

Which value of N(E_F) does entry 4 give?
11.5 states/eV/f.u.